No. 1
A relaxed BaSr2Tl2 crystal, computed with PBE.

Calculated values
* energy of formation: -6.177 kcal/mol of atoms
* mass density: 5.60 g/cm³
* N(E_F): 10.5 states/eV/cell
* polymorph energy (0 for the lowest one): 0.056 eV per atom

The structure in CIF format:
```
data_BaSr2Tl2
_cell_length_a 6.390
_cell_length_b 4.692
_cell_length_c 14.316
_cell_angle_alpha 90.00
_cell_angle_beta 94.99
_cell_angle_gamma 90.00
_symmetry_space_group_name_H-M 'P 1 21/m 1'
_symmetry_Int_Tables_number 11
_symmetry_space_group_name_Hall '-P 2yb'
loop_
_atom_site_label
_atom_site_fract_x
_atom_site_fract_y
_atom_site_fract_z
Ba1 0.179 0.250 0.238
Sr1 0.248 0.750 0.483
Sr2 0.339 0.250 0.888
Tl1 0.150 0.750 0.041
Tl2 0.280 0.250 0.652
```


No. 2
A relaxed Ba2Sr6Tl crystal, computed with PBE.

Calculated values
* energy of formation: -0.917 kcal/mol of atoms
* mass density: 3.53 g/cm³
* N(E_F): 31.3 states/eV/cell
* polymorph energy (0 for the lowest one): 0.000 eV per atom

The structure in CIF format:
```
data_Ba2Sr6Tl
_cell_length_a 4.328
_cell_length_b 19.362
_cell_length_c 11.293
_cell_angle_alpha 90.00
_cell_angle_beta 90.00
_cell_angle_gamma 90.00
_symmetry_space_group_name_H-M 'A m m 2'
_symmetry_Int_Tables_number 38
_symmetry_space_group_name_Hall 'A 2 -2'
loop_
_atom_site_label
_atom_site_fract_x
_atom_site_fract_y
_atom_site_fract_z
Ba1 0.000 0.177 0.000
Sr1 0.000 0.000 0.770
Sr2 0.000 0.113 0.368
Sr3 0.500 0.000 0.109
Sr4 0.500 0.168 0.676
Tl1 0.500 0.000 0.524
```


Which formula does entry 1 have? BaSr2Tl2


What is the formula in the second record? Ba2Sr6Tl


Repeat the second record exactly.
A relaxed Ba2Sr6Tl crystal, computed with PBE.

Calculated values
* energy of formation: -0.917 kcal/mol of atoms
* mass density: 3.53 g/cm³
* N(E_F): 31.3 states/eV/cell
* polymorph energy (0 for the lowest one): 0.000 eV per atom

The structure in CIF format:
```
data_Ba2Sr6Tl
_cell_length_a 4.328
_cell_length_b 19.362
_cell_length_c 11.293
_cell_angle_alpha 90.00
_cell_angle_beta 90.00
_cell_angle_gamma 90.00
_symmetry_space_group_name_H-M 'A m m 2'
_symmetry_Int_Tables_number 38
_symmetry_space_group_name_Hall 'A 2 -2'
loop_
_atom_site_label
_atom_site_fract_x
_atom_site_fract_y
_atom_site_fract_z
Ba1 0.000 0.177 0.000
Sr1 0.000 0.000 0.770
Sr2 0.000 0.113 0.368
Sr3 0.500 0.000 0.109
Sr4 0.500 0.168 0.676
Tl1 0.500 0.000 0.524
```


Among the records above, which one has the highest mass density? BaSr2Tl2